Compound: Sm3Er3Sc5
Source: the Alexandria database
Functional: PBE
Structure: relaxed

- space group = P-62m, No. 189
- DFT formation energy (eV per atom) = 0.828
- E (eV/cell) = -50.4

Unit cell a=5.349 b=9.074 c=9.074 alpha=120.00 beta=90.00 gamma=90.00
Positions (direct):
Er  0.000  0.000  0.605
Sm  0.500  0.380  0.000
Sm  0.500  0.000  0.380
Sm  0.500  0.620  0.620
Er  0.000  0.395  0.395
Sc  0.500  0.333  0.667
Sc  0.500  0.667  0.333
Er  0.000  0.605  0.000
Sc  0.500  0.241  0.241
Sc  0.500  0.000  0.759
Sc  0.500  0.759  0.000

Compound: Sm8Er2Sc
Source: the Alexandria database
Functional: PBE
Structure: relaxed

- space group = Immm, No. 71
- DFT formation energy (eV per atom) = 0.115
- offset from the most stable computed form (meV/atom) = 0
- E (eV/cell) = -51.9

Unit cell a=5.633 b=7.962 c=9.407 alpha=115.04 beta=107.42 gamma=90.00
Positions (direct):
Er  0.800  0.300  0.601
Sm  0.000  0.717  0.000
Sm  0.000  0.283  0.000
Sm  0.168  0.168  0.335
Sm  0.832  0.832  0.665
Sm  0.368  0.159  0.736
Sm  0.632  0.423  0.264
Sm  0.368  0.577  0.736
Sm  0.632  0.841  0.264
Er  0.200  0.700  0.399
Sc  0.500  0.000  0.000

Compound: Sm2ErSc6
Source: the Alexandria database
Functional: PBE
Structure: relaxed

- space group = P6/mmm, No. 191
- DFT formation energy (eV per atom) = 0.068
- E (eV/cell) = -51.4

Unit cell a=3.287 b=9.810 c=9.810 alpha=56.22 beta=70.41 gamma=70.41
Positions (direct):
Sc  0.831  0.669  0.000
Sc  0.500  0.331  0.669
Er  0.000  0.000  0.000
Sc  0.500  0.669  0.331
Sm  0.333  0.333  0.333
Sm  0.667  0.667  0.667
Sc  0.170  0.000  0.331
Sc  0.170  0.331  0.000
Sc  0.831  0.000  0.669

Number 1: total moment 0.9 μB/f.u.. Number 2: total moment 0.0 μB/f.u.. Number 3: total moment 0.0 μB/f.u..